A plane-wave DFT calculation with PBE was carried out for crystalline K2MnNiSe4 at its relaxed geometry.

Results
crystal system: orthorhombic
formation energy from raw total energies: -69.0 kJ per mole of atoms
E_tot: -4.601 eV per atom

Cell: 5.5835 13.4433 23.1787 Å, 90.00 90.00 90.00°
With the nearest neighbours (Å) after each atom.
Space group Fddd (No. 70, origin choice 2)
Unique sites:
K 0.1250 0.1250 0.3061 x16  8 Se 3.44-3.54
Mn 0.1250 0.1250 0.6250 x8  4 Se 2.31
Ni 0.1250 0.1250 0.1250 x8  4 Se 2.34
Se 0.1197 0.2764 0.8187 x32  1 Mn 2.31, 1 Ni 2.34